The following is a PBE calculation of a geometry-optimized Th6Te3AsS2 structure, from the Alexandria database.

Computed properties:
DFT total energy, eV per cell: -166.63
Raw formation energy, meV per atom: -1372

Cell lengths 7.289, 12.601, 7.713 Å; angles 90.00, 108.28, 90.00 degrees
Space group C2/m (No. 12)
One atom of each set of equivalent atoms:
Th: 0.224 0.000 0.208 x4
Th: 0.243 0.328 0.213 x8
Te: 0.000 0.000 0.500 x2
Te: 0.000 0.340 0.500 x4
As: 0.000 0.500 0.000 x2
S: 0.000 0.168 0.000 x4